DFT (PBE) results for a relaxed structure of Zr2TaAs.

Results
**Total energy**: -8.39 eV per atom
**Symmetry**: No. 216
**M_tot**: 0.0 μB/f.u.

POSCAR file:
```
Zr2TaAs
1.0
0.0000 3.3658 3.3658
3.3658 0.0000 3.3658
3.3658 3.3658 0.0000
As Ta Zr
1 1 2
Cartesian
3.3658 3.3658 3.3658
1.6829 1.6829 1.6829
0.0000 0.0000 0.0000
5.0488 5.0488 5.0488
```



DFT (PBE) results for a relaxed structure of GdTmZnCo2.

Results
**Total energy**: -5.22 eV per atom
**Symmetry**: No. 44
**Energy of formation from the pure elements**: -1.5 eV per formula unit
**M_tot**: 0.1 μB/f.u.

POSCAR file:
```
GdTmZnCo2
1.0
1.7390 4.5087 2.1974
-4.4051 1.6106 2.4863
3.1056 -4.2961 0.2826
Zn Gd Co Tm
1 1 2 1
Cartesian
2.4185 0.1151 1.2467
-0.5528 1.2688 0.9711
0.3797 -1.3047 1.9045
0.0659 3.1139 3.0510
-2.1156 4.8557 3.7165
```